Record 1
VASP calculation (PBE+U) on a relaxed YVW2O8 crystal. Values from VASP.

Summary:
For the total magnetization, the calculation gives 4.000 μB per cell. For the total energy, the calculation gives -7.925 eV/atom. As for the energy above the most stable polymorph in this dataset: 102.3 meV per atom.

Cell and atoms, written as Quantum ESPRESSO input:
```
&SYSTEM
  ibrav = 0, nat = 12, ntyp = 4
/
ATOMIC_SPECIES
Y 88.91 Y.upf
V 50.94 V.upf
W 183.84 W.upf
O 16.00 O.upf
CELL_PARAMETERS angstrom
5.1527 0.0000 0.0000
-1.8190 5.4909 0.0000
-0.1330 -1.9172 5.6045
ATOMIC_POSITIONS crystal
Y 0.0000 0.0000 0.0000
V 0.4934 0.9983 0.5235
W 0.2369 0.4886 0.6870
W 0.7452 0.5168 0.3546
O 0.1334 0.6874 0.4747
O 0.2256 0.7261 0.9687
O 0.2691 0.1968 0.7770
O 0.3619 0.2867 0.3554
O 0.6456 0.7314 0.6827
O 0.7178 0.7791 0.2474
O 0.7852 0.2889 0.0815
O 0.8425 0.3061 0.5606
```


Record 2
VASP calculation (PBE+U) on a relaxed YVW2O8 crystal. Values from VASP.

Summary:
For the total magnetization, the calculation gives 8.000 μB per cell. For the total energy, the calculation gives -8.027 eV/atom. As for the energy above the most stable polymorph in this dataset: 0.0 meV per atom.

Cell and atoms, written as Quantum ESPRESSO input:
```
&SYSTEM
  ibrav = 0, nat = 24, ntyp = 4
/
ATOMIC_SPECIES
Y 88.91 Y.upf
V 50.94 V.upf
W 183.84 W.upf
O 16.00 O.upf
CELL_PARAMETERS angstrom
5.3210 0.0000 0.0000
0.0000 5.7839 0.0000
-4.8335 0.0000 9.7474
ATOMIC_POSITIONS crystal
Y 0.0000 0.1636 0.2500
Y 0.0000 0.8364 0.7500
V 0.5000 0.1646 0.7500
V 0.5000 0.8354 0.2500
W 0.2441 0.3424 0.9968
W 0.2441 0.6576 0.4968
W 0.7559 0.3424 0.5032
W 0.7559 0.6576 0.0032
O 0.1766 0.3947 0.6137
O 0.1766 0.6053 0.1137
O 0.2489 0.1149 0.1241
O 0.2489 0.8851 0.6241
O 0.2860 0.1428 0.8587
O 0.2860 0.8572 0.3587
O 0.3242 0.3854 0.4027
O 0.3242 0.6146 0.9027
O 0.6758 0.3854 0.0973
O 0.6758 0.6146 0.5973
O 0.7140 0.1428 0.6413
O 0.7140 0.8572 0.1413
O 0.7511 0.1149 0.3759
O 0.7511 0.8851 0.8759
O 0.8234 0.3947 0.8863
O 0.8234 0.6053 0.3863
```


Record 3
VASP calculation (PBE+U) on a relaxed V2ZnWO crystal. Values from VASP.

Summary:
For the total magnetization, the calculation gives 2.905 μB per cell. For the total energy, the calculation gives -5.611 eV/atom.

Cell and atoms, written as Quantum ESPRESSO input:
```
&SYSTEM
  ibrav = 0, nat = 5, ntyp = 4
/
ATOMIC_SPECIES
V 50.94 V.upf
Zn 65.41 Zn.upf
W 183.84 W.upf
O 16.00 O.upf
CELL_PARAMETERS angstrom
4.2069 0.0000 0.0000
0.0000 4.2069 0.0000
0.0000 0.0000 4.3001
ATOMIC_POSITIONS crystal
V 0.0000 0.5000 0.0000
V 0.5000 0.0000 0.0000
Zn 0.0000 0.0000 0.5000
W 0.5000 0.5000 0.5000
O 0.5000 0.5000 0.0000
```


Record 4
VASP calculation (PBE+U) on a relaxed ZrV2WO crystal. Values from VASP.

Summary:
For the total magnetization, the calculation gives 0.005 μB per cell. For the total energy, the calculation gives -6.719 eV/atom.

Cell and atoms, written as Quantum ESPRESSO input:
```
&SYSTEM
  ibrav = 0, nat = 5, ntyp = 4
/
ATOMIC_SPECIES
Zr 91.22 Zr.upf
V 50.94 V.upf
W 183.84 W.upf
O 16.00 O.upf
CELL_PARAMETERS angstrom
4.0284 0.0000 0.0000
0.0000 4.0284 0.0000
0.0000 0.0000 4.5673
ATOMIC_POSITIONS crystal
Zr 0.0000 0.0000 0.0000
V 0.0000 0.5000 0.5000
V 0.5000 0.0000 0.5000
W 0.5000 0.5000 0.0000
O 0.5000 0.5000 0.5000
```


Record 5
VASP calculation (PBE+U) on a relaxed Y2VO5 crystal. Values from VASP.

Summary:
For the total magnetization, the calculation gives 4.000 μB per cell. For the total energy, the calculation gives -8.620 eV/atom. As for the energy above the most stable polymorph in this dataset: 0.0 meV per atom.

Cell and atoms, written as Quantum ESPRESSO input:
```
&SYSTEM
  ibrav = 0, nat = 32, ntyp = 3
/
ATOMIC_SPECIES
Y 88.91 Y.upf
V 50.94 V.upf
O 16.00 O.upf
CELL_PARAMETERS angstrom
7.4396 0.0000 0.0000
0.0000 3.6102 0.0000
0.0000 0.0000 15.6364
ATOMIC_POSITIONS crystal
Y 0.0953 0.2500 0.0877
Y 0.1387 0.2500 0.7366
Y 0.3613 0.7500 0.2366
Y 0.4047 0.7500 0.5877
Y 0.5953 0.2500 0.4123
Y 0.6387 0.2500 0.7634
Y 0.8613 0.7500 0.2634
Y 0.9047 0.7500 0.9123
V 0.1246 0.2500 0.4256
V 0.3754 0.7500 0.9256
V 0.6246 0.2500 0.0744
V 0.8754 0.7500 0.5744
O 0.0851 0.7500 0.4515
O 0.0934 0.7500 0.1774
O 0.0982 0.7500 0.6497
O 0.1544 0.7500 0.9990
O 0.2174 0.7500 0.8314
O 0.2826 0.2500 0.3314
O 0.3456 0.2500 0.4990
O 0.4018 0.2500 0.1497
O 0.4066 0.2500 0.6774
O 0.4149 0.2500 0.9515
O 0.5851 0.7500 0.0485
O 0.5934 0.7500 0.3226
O 0.5982 0.7500 0.8503
O 0.6544 0.7500 0.5010
O 0.7174 0.7500 0.6686
O 0.7826 0.2500 0.1686
O 0.8456 0.2500 0.0010
O 0.9018 0.2500 0.3503
O 0.9066 0.2500 0.8226
O 0.9149 0.2500 0.5485
```


Record 6
VASP calculation (PBE+U) on a relaxed YVO2 crystal. Values from VASP.

Summary:
For the total magnetization, the calculation gives 11.944 μB per cell. For the total energy, the calculation gives -8.100 eV/atom.

Cell and atoms, written as Quantum ESPRESSO input:
```
&SYSTEM
  ibrav = 0, nat = 16, ntyp = 3
/
ATOMIC_SPECIES
Y 88.91 Y.upf
V 50.94 V.upf
O 16.00 O.upf
CELL_PARAMETERS angstrom
-3.1076 3.1076 5.8257
3.1076 -3.1076 5.8257
3.1076 3.1076 -5.8257
ATOMIC_POSITIONS crystal
Y 0.0000 0.0000 0.0000
Y 0.0000 0.0000 0.5000
Y 0.0000 0.5000 0.0000
Y 0.5000 0.0000 0.5000
V 0.0000 0.5000 0.5000
V 0.5000 0.0000 0.0000
V 0.5000 0.5000 0.0000
V 0.5000 0.5000 0.5000
O 0.2013 0.2179 0.5166
O 0.2013 0.6847 0.9834
O 0.2179 0.2013 0.0166
O 0.3153 0.7987 0.5166
O 0.6847 0.2013 0.4834
O 0.7821 0.7987 0.9834
O 0.7987 0.3153 0.0166
O 0.7987 0.7821 0.4834
```


Record 7
VASP calculation (PBE+U) on a relaxed Y2VO crystal. Values from VASP.

Summary:
For the total magnetization, the calculation gives 2.862 μB per cell. For the total energy, the calculation gives -7.032 eV/atom.

Cell and atoms, written as Quantum ESPRESSO input:
```
&SYSTEM
  ibrav = 0, nat = 4, ntyp = 3
/
ATOMIC_SPECIES
Y 88.91 Y.upf
V 50.94 V.upf
O 16.00 O.upf
CELL_PARAMETERS angstrom
1.6890 0.9751 8.7500
-1.6890 0.9751 8.7500
0.0000 -1.9503 8.7500
ATOMIC_POSITIONS crystal
Y 0.1142 0.1142 0.1142
Y 0.8858 0.8858 0.8858
V 0.0000 0.0000 0.0000
O 0.5000 0.5000 0.5000
```


Record 8
VASP calculation (PBE+U) on a relaxed Y3VO6 crystal. Values from VASP.

Summary:
For the total magnetization, the calculation gives 4.000 μB per cell. For the total energy, the calculation gives -8.775 eV/atom. As for the energy above the most stable polymorph in this dataset: 48.1 meV per atom.

Cell and atoms, written as Quantum ESPRESSO input:
```
&SYSTEM
  ibrav = 0, nat = 20, ntyp = 3
/
ATOMIC_SPECIES
Y 88.91 Y.upf
V 50.94 V.upf
O 16.00 O.upf
CELL_PARAMETERS angstrom
4.5114 -5.4565 0.0000
4.5114 5.4565 0.0000
0.0000 0.0000 5.5300
ATOMIC_POSITIONS crystal
Y 0.1037 0.8963 0.5000
Y 0.1798 0.4110 0.5529
Y 0.4110 0.1798 0.0529
Y 0.5890 0.8202 0.5529
Y 0.8202 0.5890 0.0529
Y 0.8963 0.1037 0.0000
V 0.3489 0.6511 0.0631
V 0.6511 0.3489 0.5631
O 0.1035 0.5981 0.2463
O 0.1449 0.1728 0.2766
O 0.1728 0.1449 0.7766
O 0.2775 0.7225 0.7434
O 0.4019 0.8965 0.2463
O 0.4870 0.5130 0.3764
O 0.5130 0.4870 0.8764
O 0.5981 0.1035 0.7463
O 0.7225 0.2775 0.2434
O 0.8272 0.8551 0.2766
O 0.8551 0.8272 0.7766
O 0.8965 0.4019 0.7463
```


Record 9
VASP calculation (PBE+U) on a relaxed YVO2 crystal. Values from VASP.

Summary:
For the total magnetization, the calculation gives 0.001 μB per cell. For the total energy, the calculation gives -7.574 eV/atom.

Cell and atoms, written as Quantum ESPRESSO input:
```
&SYSTEM
  ibrav = 0, nat = 4, ntyp = 3
/
ATOMIC_SPECIES
Y 88.91 Y.upf
V 50.94 V.upf
O 16.00 O.upf
CELL_PARAMETERS angstrom
0.0000 2.8245 2.8245
2.8245 0.0000 2.8245
2.8245 2.8245 0.0000
ATOMIC_POSITIONS crystal
Y 0.0000 0.0000 0.0000
V 0.5000 0.5000 0.5000
O 0.2500 0.2500 0.2500
O 0.7500 0.7500 0.7500
```


Record 10
VASP calculation (PBE+U) on a relaxed Y4V6O19 crystal. Values from VASP.

Summary:
For the total magnetization, the calculation gives 4.000 μB per cell. For the total energy, the calculation gives -8.110 eV/atom.

Cell and atoms, written as Quantum ESPRESSO input:
```
&SYSTEM
  ibrav = 0, nat = 29, ntyp = 3
/
ATOMIC_SPECIES
Y 88.91 Y.upf
V 50.94 V.upf
O 16.00 O.upf
CELL_PARAMETERS angstrom
6.2704 -4.4818 0.0000
6.2704 4.4818 0.0000
-6.2625 0.0000 6.3124
ATOMIC_POSITIONS crystal
Y 0.1458 0.1458 0.4981
Y 0.1551 0.5429 0.2025
Y 0.4571 0.8449 0.7975
Y 0.8542 0.8542 0.5019
V 0.0034 0.6713 0.8252
V 0.3287 0.9966 0.1748
V 0.5026 0.4974 0.0000
V 0.6436 0.3391 0.3311
V 0.6609 0.3564 0.6689
V 0.8240 0.1760 0.0000
O 0.1057 0.2216 0.1315
O 0.1547 0.8453 0.5000
O 0.1591 0.8388 0.1439
O 0.1612 0.8409 0.8561
O 0.1869 0.4484 0.7908
O 0.4043 0.1648 0.4553
O 0.4470 0.4984 0.1812
O 0.4629 0.1083 0.1122
O 0.4978 0.5022 0.5000
O 0.5016 0.5530 0.8188
O 0.5096 0.1891 0.8525
O 0.5516 0.8131 0.2092
O 0.7784 0.8943 0.8685
O 0.7935 0.1428 0.7560
O 0.8060 0.1940 0.5000
O 0.8109 0.4904 0.1475
O 0.8352 0.5957 0.5447
O 0.8572 0.2065 0.2440
O 0.8917 0.5371 0.8878
```


Record 11
VASP calculation (PBE+U) on a relaxed Y3VO6 crystal. Values from VASP.

Summary:
For the total magnetization, the calculation gives 4.000 μB per cell. For the total energy, the calculation gives -8.823 eV/atom. As for the energy above the most stable polymorph in this dataset: 0.0 meV per atom.

Cell and atoms, written as Quantum ESPRESSO input:
```
&SYSTEM
  ibrav = 0, nat = 20, ntyp = 3
/
ATOMIC_SPECIES
Y 88.91 Y.upf
V 50.94 V.upf
O 16.00 O.upf
CELL_PARAMETERS angstrom
4.7365 2.7346 3.6174
-4.7365 2.7346 3.6174
0.0000 -5.4692 3.6174
ATOMIC_POSITIONS crystal
Y 0.0644 0.5718 0.7549
Y 0.2451 0.9356 0.4282
Y 0.4282 0.2451 0.9356
Y 0.5718 0.7549 0.0644
Y 0.7549 0.0644 0.5718
Y 0.9356 0.4282 0.2451
V 0.0000 0.0000 0.0000
V 0.5000 0.5000 0.5000
O 0.0404 0.9114 0.6990
O 0.0886 0.3010 0.9596
O 0.1979 0.5807 0.4315
O 0.3010 0.9596 0.0886
O 0.4193 0.5685 0.8021
O 0.4315 0.1979 0.5807
O 0.5685 0.8021 0.4193
O 0.5807 0.4315 0.1979
O 0.6990 0.0404 0.9114
O 0.8021 0.4193 0.5685
O 0.9114 0.6990 0.0404
O 0.9596 0.0886 0.3010
```


Record 12
VASP calculation (PBE+U) on a relaxed Y3V5O12 crystal. Values from VASP.

Summary:
For the total magnetization, the calculation gives 40.000 μB per cell. For the total energy, the calculation gives -8.345 eV/atom.

Cell and atoms, written as Quantum ESPRESSO input:
```
&SYSTEM
  ibrav = 0, nat = 80, ntyp = 3
/
ATOMIC_SPECIES
Y 88.91 Y.upf
V 50.94 V.upf
O 16.00 O.upf
CELL_PARAMETERS angstrom
-6.3054 6.3054 6.3054
6.3054 -6.3054 6.3054
6.3054 6.3054 -6.3054
ATOMIC_POSITIONS crystal
Y 0.1250 0.2500 0.3750
Y 0.1250 0.3750 0.7500
Y 0.2500 0.3750 0.1250
Y 0.2500 0.8750 0.6250
Y 0.3750 0.1250 0.2500
Y 0.3750 0.7500 0.1250
Y 0.6250 0.2500 0.8750
Y 0.6250 0.8750 0.7500
Y 0.7500 0.1250 0.3750
Y 0.7500 0.6250 0.8750
Y 0.8750 0.6250 0.2500
Y 0.8750 0.7500 0.6250
V 0.0000 0.0000 0.0000
V 0.0000 0.0000 0.5000
V 0.0000 0.5000 0.0000
V 0.0000 0.5000 0.5000
V 0.1250 0.7500 0.8750
V 0.1250 0.8750 0.2500
V 0.2500 0.1250 0.8750
V 0.2500 0.6250 0.3750
V 0.3750 0.2500 0.6250
V 0.3750 0.6250 0.7500
V 0.5000 0.0000 0.0000
V 0.5000 0.0000 0.5000
V 0.5000 0.5000 0.0000
V 0.5000 0.5000 0.5000
V 0.6250 0.3750 0.2500
V 0.6250 0.7500 0.3750
V 0.7500 0.3750 0.6250
V 0.7500 0.8750 0.1250
V 0.8750 0.1250 0.7500
V 0.8750 0.2500 0.1250
O 0.0318 0.2111 0.1266
O 0.0318 0.3207 0.9053
O 0.0845 0.7111 0.6793
O 0.0845 0.8734 0.4053
O 0.0947 0.6266 0.4155
O 0.0947 0.9682 0.6793
O 0.1266 0.0318 0.2111
O 0.1266 0.5947 0.9155
O 0.1793 0.2111 0.5845
O 0.1793 0.4682 0.5947
O 0.2111 0.1266 0.0318
O 0.2111 0.5845 0.1793
O 0.2889 0.3207 0.9155
O 0.2889 0.4682 0.3734
O 0.3207 0.9053 0.0318
O 0.3207 0.9155 0.2889
O 0.3734 0.2889 0.4682
O 0.3734 0.5845 0.9053
O 0.4053 0.0845 0.8734
O 0.4053 0.8207 0.5318
O 0.4155 0.0947 0.6266
O 0.4155 0.8207 0.7889
O 0.4682 0.3734 0.2889
O 0.4682 0.5947 0.1793
O 0.5318 0.4053 0.8207
O 0.5318 0.6266 0.7111
O 0.5845 0.1793 0.2111
O 0.5845 0.9053 0.3734
O 0.5947 0.1793 0.4682
O 0.5947 0.9155 0.1266
O 0.6266 0.4155 0.0947
O 0.6266 0.7111 0.5318
O 0.6793 0.0845 0.7111
O 0.6793 0.0947 0.9682
O 0.7111 0.5318 0.6266
O 0.7111 0.6793 0.0845
O 0.7889 0.4155 0.8207
O 0.7889 0.8734 0.9682
O 0.8207 0.5318 0.4053
O 0.8207 0.7889 0.4155
O 0.8734 0.4053 0.0845
O 0.8734 0.9682 0.7889
O 0.9053 0.0318 0.3207
O 0.9053 0.3734 0.5845
O 0.9155 0.1266 0.5947
O 0.9155 0.2889 0.3207
O 0.9682 0.6793 0.0947
O 0.9682 0.7889 0.8734
```


Record 13
VASP calculation (PBE+U) on a relaxed Y5V2O12 crystal. Values from VASP.

Summary:
For the total magnetization, the calculation gives 1.000 μB per cell. For the total energy, the calculation gives -8.676 eV/atom.

Cell and atoms, written as Quantum ESPRESSO input:
```
&SYSTEM
  ibrav = 0, nat = 19, ntyp = 3
/
ATOMIC_SPECIES
Y 88.91 Y.upf
V 50.94 V.upf
O 16.00 O.upf
CELL_PARAMETERS angstrom
6.1299 -2.8999 0.0000
6.1299 2.8999 0.0000
-2.2107 0.0000 7.0048
ATOMIC_POSITIONS crystal
Y 0.0000 0.0000 0.0000
Y 0.3059 0.3059 0.1417
Y 0.3108 0.3108 0.6701
Y 0.6892 0.6892 0.3299
Y 0.6941 0.6941 0.8583
V 0.2329 0.7671 0.5000
V 0.7671 0.2329 0.5000
O 0.0006 0.0006 0.6857
O 0.0970 0.5960 0.9239
O 0.0980 0.5832 0.4208
O 0.4040 0.9030 0.0761
O 0.4168 0.9020 0.5792
O 0.4998 0.4998 0.3226
O 0.5002 0.5002 0.6774
O 0.5832 0.0980 0.4208
O 0.5960 0.0970 0.9239
O 0.9020 0.4168 0.5792
O 0.9030 0.4040 0.0761
O 0.9994 0.9994 0.3143
```


Record 14
VASP calculation (PBE+U) on a relaxed Y2VO5 crystal. Values from VASP.

Summary:
For the total magnetization, the calculation gives 4.000 μB per cell. For the total energy, the calculation gives -8.606 eV/atom. As for the energy above the most stable polymorph in this dataset: 14.1 meV per atom.

Cell and atoms, written as Quantum ESPRESSO input:
```
&SYSTEM
  ibrav = 0, nat = 32, ntyp = 3
/
ATOMIC_SPECIES
Y 88.91 Y.upf
V 50.94 V.upf
O 16.00 O.upf
CELL_PARAMETERS angstrom
7.7115 -3.4505 0.0000
7.7115 3.4505 0.0000
-5.5864 0.0000 8.9098
ATOMIC_POSITIONS crystal
Y 0.0062 0.2658 0.8394
Y 0.2070 0.7291 0.5394
Y 0.2658 0.0062 0.3394
Y 0.2709 0.7930 0.9606
Y 0.7291 0.2070 0.0394
Y 0.7342 0.9938 0.6606
Y 0.7930 0.2709 0.4606
Y 0.9938 0.7342 0.1606
V 0.2108 0.4128 0.6953
V 0.4128 0.2108 0.1953
V 0.5872 0.7892 0.8047
V 0.7892 0.5872 0.3047
O 0.0413 0.3354 0.6711
O 0.0858 0.8805 0.1029
O 0.0900 0.6856 0.6807
O 0.1195 0.9142 0.3971
O 0.2170 0.3673 0.0538
O 0.3144 0.9100 0.8193
O 0.3354 0.0413 0.1711
O 0.3673 0.2170 0.5538
O 0.3973 0.4262 0.8754
O 0.4262 0.3973 0.3754
O 0.5738 0.6027 0.6246
O 0.6027 0.5738 0.1246
O 0.6327 0.7830 0.4462
O 0.6646 0.9587 0.8289
O 0.6856 0.0900 0.1807
O 0.7830 0.6327 0.9462
O 0.8805 0.0858 0.6029
O 0.9100 0.3144 0.3193
O 0.9142 0.1195 0.8971
O 0.9587 0.6646 0.3289
```


Record 15
VASP calculation (PBE+U) on a relaxed Y2VO6 crystal. Values from VASP.

Summary:
For the total magnetization, the calculation gives 2.043 μB per cell. For the total energy, the calculation gives -8.112 eV/atom.

Cell and atoms, written as Quantum ESPRESSO input:
```
&SYSTEM
  ibrav = 0, nat = 18, ntyp = 3
/
ATOMIC_SPECIES
Y 88.91 Y.upf
V 50.94 V.upf
O 16.00 O.upf
CELL_PARAMETERS angstrom
4.9770 0.0000 0.0000
0.0000 4.9770 0.0000
0.0000 0.0000 9.8815
ATOMIC_POSITIONS crystal
Y 0.0000 0.0000 0.1700
Y 0.0000 0.0000 0.8300
Y 0.5000 0.5000 0.3300
Y 0.5000 0.5000 0.6700
V 0.0000 0.0000 0.5000
V 0.5000 0.5000 0.0000
O 0.1834 0.1834 0.3587
O 0.1834 0.1834 0.6413
O 0.2277 0.2277 0.0000
O 0.2723 0.7277 0.5000
O 0.3166 0.6834 0.1413
O 0.3166 0.6834 0.8587
O 0.6834 0.3166 0.1413
O 0.6834 0.3166 0.8587
O 0.7277 0.2723 0.5000
O 0.7723 0.7723 0.0000
O 0.8166 0.8166 0.3587
O 0.8166 0.8166 0.6413
```